Here is a geometry-optimized TmMg7Ag4 structure from Alexandria. Energies are from PBE.

Unit cell a=5.2559 b=8.1946 c=7.0386 alpha=76.24 beta=68.08 gamma=71.29
Closest atoms and distances in Å follow each position.
Positions (direct):
Tm 0.0000 0.0000 0.0000  2 Mg 2.63
Mg 0.7816 0.8793 0.5574  4 Ag 2.82-3.10, 2 Mg 3.00-3.16
Mg 0.2184 0.1207 0.4426  4 Ag 2.82-3.10, 2 Mg 3.00-3.16
Mg 0.0614 0.6136 0.2635  3 Ag 2.73-3.00, 1 Mg 3.00
Mg 0.9386 0.3864 0.7365  3 Ag 2.73-3.00, 1 Mg 3.00
Mg 0.3063 0.6352 0.7523  4 Ag 2.69-2.96
Mg 0.5000 0.0000 0.0000  2 Tm 2.63, 4 Ag 2.67-2.70
Mg 0.6937 0.3648 0.2477  4 Ag 2.69-2.96
Ag 0.5641 0.2246 0.6472  5 Mg 2.69-3.00, 1 Ag 2.85
Ag 0.4359 0.7754 0.3528  5 Mg 2.69-3.00, 1 Ag 2.85
Ag 0.6914 0.6630 0.9542  6 Mg 2.67-2.96, 1 Ag 2.85
Ag 0.3086 0.3370 0.0458  6 Mg 2.67-2.96, 1 Ag 2.85

Results
VASP energy ... -2.211 eV/atom
Crystal system ... monoclinic
Space group ... C2/m, No. 12
DOS at the Fermi energy ... 0.470 states/eV per atom
Size of the total moment ... 0.00 μB per formula unit
ΔH_f (0 K) ... 4.1 kJ per mole of atoms